## P
A relaxed structure of PaPbNO, computed with PBE-GGA.

Summary:
Total moment (μB/cell): 2.44

Geometry as extended XYZ:
```
8
Lattice="-2.631 0.693 3.693 -0.615 -4.526 0.411 5.940 -0.415 4.309" Properties=species:S:1:pos:R:3 pbc="T T T"
N 2.189 0.101 4.388
N 2.128 -2.434 1.973
Pb -0.705 0.304 2.289
Pb 5.022 -2.636 4.072
Pa 2.970 -0.208 2.155
Pa 1.347 -2.124 4.207
O 0.000 0.000 0.000
O -1.623 -1.917 2.052
```

## Q
A relaxed structure of PaPbNO, computed with PBE-GGA.

Summary:
Total moment (μB/cell): 2.25

Geometry as extended XYZ:
```
8
Lattice="5.164 0.000 0.000 0.000 5.164 0.000 0.000 0.000 5.114" Properties=species:S:1:pos:R:3 pbc="T T T"
N 1.291 1.291 2.521
N 3.873 3.873 2.593
Pa 1.291 3.873 2.557
Pa 3.873 1.291 2.557
Pb 1.291 1.291 5.110
Pb 3.873 3.873 0.004
O 3.873 1.291 0.000
O 1.291 3.873 0.000
```

Each structure's energy above the most stable one, in meV/atom: P 408; Q 0.

## P
A relaxed structure of PmPaNO, computed with PBE-GGA.

Summary:
Total moment (μB/cell): 2.02

Geometry as extended XYZ:
```
8
Lattice="-3.852 -0.776 0.693 -0.638 -0.336 -3.925 1.756 -8.334 0.427" Properties=species:S:1:pos:R:3 pbc="T T T"
Pm -2.171 -4.833 -0.248
Pm -0.564 -4.613 -2.557
Pa -0.858 -1.534 -0.744
Pa -1.877 -7.912 -2.061
N 0.104 -6.099 -0.510
N -2.838 -3.347 -2.295
O -3.049 -0.666 -0.462
O -1.442 -0.446 -2.770
```

## Q
A relaxed structure of PmPaNO, computed with PBE-GGA.

Summary:
Total moment (μB/cell): 5.09

Geometry as extended XYZ:
```
16
Lattice="6.832 0.000 0.000 0.000 8.435 0.000 0.000 0.000 5.195" Properties=species:S:1:pos:R:3 pbc="T T T"
Pa 3.787 3.220 0.262
Pa 0.371 5.215 0.262
Pa 6.461 3.220 2.860
Pa 3.045 5.215 2.860
Pm 2.842 1.068 2.861
Pm 3.990 7.367 0.264
Pm 0.574 1.068 0.264
Pm 6.258 7.367 2.861
N 6.396 7.340 0.259
N 3.852 7.340 2.857
N 0.436 1.095 2.857
N 2.980 1.095 0.259
O 6.140 3.057 0.266
O 0.692 5.378 2.864
O 2.724 5.378 0.266
O 4.108 3.057 2.864
```

## R
A relaxed structure of PmPaNO, computed with PBE-GGA.

Summary:
Total moment (μB/cell): 0.01

Geometry as extended XYZ:
```
8
Lattice="-4.195 0.520 0.673 -0.646 0.253 -4.224 -1.084 -8.315 -0.333" Properties=species:S:1:pos:R:3 pbc="T T T"
N -3.100 -4.824 -1.984
N -0.405 -3.104 -0.124
O -0.323 0.127 -2.112
O -2.098 0.260 0.337
Pm -0.959 -7.351 -0.294
Pm -2.546 -0.577 -1.814
Pa -2.640 -3.897 0.170
Pa -0.865 -4.031 -2.278
```

Each structure's energy above the most stable one, in meV/atom: P 593; Q 0; R 295.

## P
A relaxed structure of RbPaNO, computed with PBE-GGA.

Summary:
Total moment (μB/cell): 2.00

Geometry as extended XYZ:
```
8
Lattice="-3.504 -1.201 1.604 2.626 0.128 5.834 -2.104 7.193 0.789" Properties=species:S:1:pos:R:3 pbc="T T T"
O -0.927 5.162 6.919
O -1.044 1.008 3.553
Rb 0.492 0.728 6.701
Rb -2.222 5.453 4.309
N -0.393 4.323 2.378
N 1.321 3.017 5.145
Pa 0.576 2.550 3.167
Pa 1.239 4.834 6.327
```

## Q
A relaxed structure of RbPaNO, computed with PBE-GGA.

Summary:
Total moment (μB/cell): 1.99

Geometry as extended XYZ:
```
8
Lattice="-2.745 1.660 2.109 -0.118 -3.089 2.277 6.533 3.809 5.506" Properties=species:S:1:pos:R:3 pbc="T T T"
Pa 0.249 0.205 1.910
Pa 3.421 2.175 7.983
N -0.413 -0.060 4.752
N 4.082 2.441 5.140
Rb 1.178 2.377 4.904
Rb 2.491 0.003 4.988
O -2.089 0.473 2.151
O -0.775 -1.902 2.235
```

## R
A relaxed structure of RbPaNO, computed with PBE-GGA.

Summary:
Total moment (μB/cell): 1.97

Geometry as extended XYZ:
```
8
Lattice="3.624 -3.758 0.000 3.624 3.758 0.000 0.000 0.000 5.154" Properties=species:S:1:pos:R:3 pbc="T T T"
N 3.624 -1.879 5.144
N 3.624 1.879 0.010
Pa 1.812 0.000 0.000
Pa 5.436 0.000 0.000
O 1.812 0.000 2.577
O 5.436 0.000 2.577
Rb 3.624 1.879 2.587
Rb 3.624 -1.879 2.567
```

## S
A relaxed structure of RbPaNO, computed with PBE-GGA.

Summary:
Total moment (μB/cell): 4.00

Geometry as extended XYZ:
```
16
Lattice="-1.296 -2.036 6.561 -1.062 -8.282 -2.780 6.172 -1.088 0.882" Properties=species:S:1:pos:R:3 pbc="T T T"
Pa -0.530 -3.428 -0.522
Pa 1.257 -7.434 4.743
Pa -1.406 -6.226 2.161
Pa 2.134 -4.636 2.060
N -0.841 -6.631 4.338
N 2.585 -6.642 3.061
N -0.055 -4.538 1.418
N 3.371 -4.549 0.142
O -1.196 -7.897 0.924
O 2.547 -3.075 3.387
O 2.499 -7.485 -1.716
O -1.148 -3.487 6.027
Rb -0.999 -7.400 -1.868
Rb 1.657 -8.620 0.751
Rb -0.856 -2.255 3.481
Rb 1.799 -3.475 6.100
```

Each structure's energy above the most stable one, in meV/atom: P 71; Q 824; R 656; S 0.

## P
A relaxed structure of PaSbNO, computed with PBE-GGA.

Summary:
Total moment (μB/cell): 1.32

Geometry as extended XYZ:
```
8
Lattice="-0.825 3.607 -0.955 -3.726 -0.744 0.409 0.441 2.247 8.106" Properties=species:S:1:pos:R:3 pbc="T T T"
N -0.074 3.531 5.754
N -1.761 0.148 2.079
O 0.000 0.000 0.000
O -2.276 1.432 -0.273
Pa -0.340 2.174 0.857
Pa -1.495 1.505 6.975
Sb -2.055 2.555 3.780
Sb 0.220 1.124 4.053
```

## Q
A relaxed structure of PaSbNO, computed with PBE-GGA.

Summary:
Total moment (μB/cell): 0.29

Geometry as extended XYZ:
```
8
Lattice="3.711 0.000 0.000 0.000 6.725 0.000 0.000 0.000 7.213" Properties=species:S:1:pos:R:3 pbc="T T T"
Pa 0.000 6.644 4.749
Pa 0.000 3.281 2.465
Sb 1.855 3.257 5.168
Sb 1.855 6.619 2.045
N 0.000 2.149 4.431
N 0.000 5.512 2.783
O 1.855 3.109 1.402
O 1.855 6.471 5.811
```

Each structure's energy above the most stable one, in meV/atom: P 292; Q 0.

## P
A relaxed structure of PaSbNO, computed with PBE-GGA.

Summary:
Total moment (μB/cell): 2.24

Geometry as extended XYZ:
```
8
Lattice="5.098 0.000 0.000 0.000 5.098 0.000 0.000 0.000 4.908" Properties=species:S:1:pos:R:3 pbc="T T T"
N 2.549 0.000 1.883
N 0.000 2.549 3.024
Sb 2.549 0.000 4.709
Sb 0.000 2.549 0.199
O 2.549 2.549 0.000
O 0.000 0.000 0.000
Pa 0.000 0.000 2.454
Pa 2.549 2.549 2.454
```

## Q
A relaxed structure of PaSbNO, computed with PBE-GGA.

Summary:
Total moment (μB/cell): 0.00

Geometry as extended XYZ:
```
8
Lattice="-1.284 1.644 -3.412 0.167 -4.985 -2.465 -6.701 -1.188 1.949" Properties=species:S:1:pos:R:3 pbc="T T T"
N -1.557 -4.586 -1.625
N -4.940 -2.679 0.568
O -6.825 -4.586 -1.986
O -0.956 -1.039 -2.484
Pa -5.824 -2.756 -1.481
Pa -2.067 0.417 -1.365
Sb -2.624 -2.992 -0.455
Sb -3.992 -0.728 1.151
```

Each structure's energy above the most stable one, in meV/atom: P 375; Q 0.

## P
A relaxed structure of PaSiNO, computed with PBE-GGA.

Summary:
Total moment (μB/cell): 5.54

Geometry as extended XYZ:
```
16
Lattice="-5.336 -1.368 -1.086 0.704 -6.488 4.716 -1.495 2.702 3.940" Properties=species:S:1:pos:R:3 pbc="T T T"
N -1.256 -1.433 4.584
N -4.545 -4.310 2.129
N -1.929 -3.148 2.324
N -3.872 -2.595 4.389
O -5.105 -4.887 4.815
O -0.377 -1.431 1.059
O -2.837 -0.520 2.681
O -2.645 -5.799 3.193
Si -1.737 -0.181 5.745
Si -2.548 -1.932 3.458
Si -4.288 -1.941 5.984
Si -5.099 -3.691 3.696
Pa -2.834 -1.452 0.170
Pa 0.360 -5.610 4.232
Pa -2.662 -4.842 5.739
Pa -5.856 -0.684 1.677
```

## Q
A relaxed structure of PaSiNO, computed with PBE-GGA.

Summary:
Total moment (μB/cell): 2.17

Geometry as extended XYZ:
```
8
Lattice="3.748 0.000 0.000 0.000 5.045 0.000 0.000 0.000 5.421" Properties=species:S:1:pos:R:3 pbc="T T T"
O 1.874 0.196 3.874
O 1.874 4.849 1.164
Si 1.874 3.313 0.189
Si 1.874 1.732 2.900
N 0.000 3.615 5.363
N 0.000 1.430 2.653
Pa 0.000 1.095 0.038
Pa 0.000 3.950 2.748
```

Each structure's energy above the most stable one, in meV/atom: P 227; Q 0.

## P
A relaxed structure of PaSiNO, computed with PBE-GGA.

Summary:
Total moment (μB/cell): 0.00

Geometry as extended XYZ:
```
8
Lattice="-3.764 -0.585 1.650 1.739 -2.978 2.912 1.077 4.641 4.103" Properties=species:S:1:pos:R:3 pbc="T T T"
O -1.107 1.703 5.900
O 0.228 -0.327 3.028
N -1.842 1.558 2.694
N -0.496 4.005 4.391
Si -0.436 2.704 3.025
Si -2.532 0.141 1.657
Pa -1.539 0.105 4.525
Pa 1.000 2.737 5.700
```

## Q
A relaxed structure of PaSiNO, computed with PBE-GGA.

Summary:
Total moment (μB/cell): 3.11

Geometry as extended XYZ:
```
16
Lattice="6.548 0.000 0.000 0.000 7.180 0.000 0.000 0.000 5.104" Properties=species:S:1:pos:R:3 pbc="T T T"
Si 5.504 5.781 2.812
Si 1.044 1.399 0.259
Si 2.230 1.399 2.812
Si 4.318 5.781 0.259
O 0.688 6.975 0.255
O 3.962 0.205 0.255
O 2.586 6.975 2.807
O 5.860 0.205 2.807
Pa 0.499 4.829 0.259
Pa 2.775 4.829 2.812
Pa 6.048 2.351 2.812
Pa 3.773 2.351 0.259
N 0.425 4.786 2.812
N 2.849 4.786 0.259
N 6.123 2.394 0.259
N 3.699 2.394 2.812
```

## R
A relaxed structure of PaSiNO, computed with PBE-GGA.

Summary:
Total moment (μB/cell): 2.20

Geometry as extended XYZ:
```
8
Lattice="4.796 0.000 0.000 0.000 4.796 0.000 0.000 0.000 4.831" Properties=species:S:1:pos:R:3 pbc="T T T"
O 2.398 2.398 0.000
O 0.000 0.000 0.000
Pa 2.398 2.398 2.416
Pa 0.000 0.000 2.416
Si 0.000 2.398 4.739
Si 2.398 0.000 0.092
N 0.000 2.398 1.621
N 2.398 0.000 3.210
```

Each structure's energy above the most stable one, in meV/atom: P 0; Q 84; R 348.

## P
A relaxed structure of PaTlNO, computed with PBE-GGA.

Summary:
Total moment (μB/cell): 1.74

Geometry as extended XYZ:
```
8
Lattice="-3.032 1.104 -2.032 -3.959 -3.883 3.798 -1.011 5.345 4.411" Properties=species:S:1:pos:R:3 pbc="T T T"
O -5.971 0.767 5.746
O -1.977 1.515 0.195
Pa -2.733 2.598 1.911
Pa -4.787 -2.584 2.160
Tl -3.196 -0.175 4.673
Tl -2.213 3.958 5.451
N -2.670 -2.337 2.714
N -1.884 1.602 3.681
```

## Q
A relaxed structure of PaTlNO, computed with PBE-GGA.

Summary:
Total moment (μB/cell): 4.00

Geometry as extended XYZ:
```
16
Lattice="-3.603 4.772 0.191 -6.730 -4.995 -2.182 -1.087 -1.052 5.759" Properties=species:S:1:pos:R:3 pbc="T T T"
O -6.416 -0.421 -0.990
O -2.830 -1.483 -0.508
O -8.152 0.632 1.952
O -4.566 -0.430 2.435
N -9.642 -1.636 -0.817
N -10.198 -2.146 2.063
N -1.694 0.442 4.140
N -1.139 0.952 1.261
Pa -1.880 -1.608 5.304
Pa -8.778 -3.004 3.747
Pa -3.114 1.273 2.520
Pa -10.012 -0.124 0.963
Tl -6.559 -1.313 1.450
Tl -6.560 2.409 2.130
Tl -5.352 -0.436 4.916
Tl -5.351 -4.159 4.236
```

## R
A relaxed structure of PaTlNO, computed with PBE-GGA.

Summary:
Total moment (μB/cell): 2.16

Geometry as extended XYZ:
```
8
Lattice="5.214 0.000 0.000 0.000 5.214 0.000 0.000 0.000 4.925" Properties=species:S:1:pos:R:3 pbc="T T T"
Pa 0.000 0.000 2.462
Pa 2.607 2.607 2.462
O 0.000 0.000 0.000
O 2.607 2.607 0.000
N 0.000 2.607 2.398
N 2.607 0.000 2.526
Tl 0.000 2.607 4.886
Tl 2.607 0.000 0.039
```

Each structure's energy above the most stable one, in meV/atom: P 111; Q 0; R 400.